(1)
The following is a DFT calculation (GGA-PBE) of Li2PmAgBr6 after structural relaxation.

Computed properties:
- Space group: No. 146
- Total magnetic moment: 0.0 Bohr magnetons per cell
- Energy: -3.549 eV per atom
- ΔE_f (raw): -135.3 kJ per mole of atoms

Lattice parameters (Å, degrees): 7.664 7.664 7.664 55.14 55.14 55.14
Element x y z (fractional)
Li: 0.000 0.000 0.000
Li: 0.493 0.493 0.493
Pm: 0.806 0.806 0.806
Ag: 0.291 0.291 0.291
Br: 0.098 0.388 0.723
Br: 0.228 0.877 0.607
Br: 0.388 0.723 0.098
Br: 0.607 0.228 0.877
Br: 0.723 0.098 0.388
Br: 0.877 0.607 0.228



(2)
The following is a DFT calculation (GGA-PBE) of La2AlZn3Au4 after structural relaxation.

Computed properties:
- Space group: No. 115
- Total magnetic moment: 0.0 Bohr magnetons per cell
- Energy: -3.648 eV per atom

Lattice parameters (Å, degrees): 4.440 4.440 10.761 90.00 90.00 90.00
Element x y z (fractional)
La: 0.000 0.500 0.246
La: 0.500 0.000 0.754
Al: 0.500 0.500 0.000
Zn: 0.000 0.000 0.000
Zn: 0.000 0.500 0.632
Zn: 0.500 0.000 0.368
Au: 0.000 0.000 0.500
Au: 0.000 0.500 0.870
Au: 0.500 0.000 0.130
Au: 0.500 0.500 0.500



(3)
The following is a DFT calculation (GGA-PBE) of TiZnSnO4 after structural relaxation.

Computed properties:
- Space group: No. 62
- Total magnetic moment: 0.0 Bohr magnetons per cell
- Energy: -6.550 eV per atom
- E above lowest polymorph: 0.196 eV per atom
- ΔE_f (raw): -177.1 kJ per mole of atoms

Lattice parameters (Å, degrees): 13.040 3.080 8.760 90.00 90.00 90.00
Element x y z (fractional)
Ti: 0.203 0.250 0.239
Ti: 0.297 0.750 0.739
Ti: 0.703 0.250 0.261
Ti: 0.797 0.750 0.761
Zn: 0.112 0.250 0.946
Zn: 0.388 0.750 0.446
Zn: 0.612 0.250 0.554
Zn: 0.888 0.750 0.054
Sn: 0.054 0.250 0.658
Sn: 0.446 0.750 0.158
Sn: 0.554 0.250 0.842
Sn: 0.946 0.750 0.342
O: 0.055 0.250 0.399
O: 0.133 0.750 0.104
O: 0.174 0.750 0.635
O: 0.241 0.750 0.353
O: 0.259 0.250 0.853
O: 0.326 0.250 0.135
O: 0.367 0.250 0.604
O: 0.445 0.750 0.899
O: 0.555 0.250 0.101
O: 0.633 0.750 0.396
O: 0.674 0.750 0.865
O: 0.741 0.750 0.147
O: 0.759 0.250 0.647
O: 0.826 0.250 0.365
O: 0.867 0.250 0.896
O: 0.945 0.750 0.601



(4)
The following is a DFT calculation (GGA-PBE) of AcAlAu2O6 after structural relaxation.

Computed properties:
- Space group: No. 15
- Total magnetic moment: 0.0 Bohr magnetons per cell
- Energy: -5.991 eV per atom
- ΔE_f (raw): -152.0 kJ per mole of atoms

Lattice parameters (Å, degrees): 7.317 7.317 7.410 113.09 113.09 56.59
Element x y z (fractional)
Ac: 0.200 0.800 0.750
Ac: 0.800 0.200 0.250
Al: 0.305 0.695 0.250
Al: 0.695 0.305 0.750
Au: 0.182 0.283 0.109
Au: 0.283 0.182 0.609
Au: 0.717 0.818 0.391
Au: 0.818 0.717 0.891
O: 0.073 0.805 0.048
O: 0.106 0.333 0.363
O: 0.195 0.927 0.452
O: 0.333 0.106 0.863
O: 0.384 0.425 0.272
O: 0.425 0.384 0.772
O: 0.575 0.616 0.228
O: 0.616 0.575 0.728
O: 0.667 0.894 0.137
O: 0.805 0.073 0.548
O: 0.894 0.667 0.637
O: 0.927 0.195 0.952



(5)
The following is a DFT calculation (GGA-PBE) of LaTi2FePt after structural relaxation.

Computed properties:
- Space group: No. 123
- Total magnetic moment: 4.0 Bohr magnetons per cell
- Energy: -6.807 eV per atom

Lattice parameters (Å, degrees): 4.855 4.855 4.888 90.00 90.00 90.00
Element x y z (fractional)
La: 0.000 0.000 0.000
Ti: 0.000 0.500 0.500
Ti: 0.500 0.000 0.500
Fe: 0.500 0.500 0.000
Pt: 0.500 0.500 0.500



(6)
The following is a DFT calculation (GGA-PBE) of KTc2Sb after structural relaxation.

Computed properties:
- Space group: No. 6
- Total magnetic moment: 0.2 Bohr magnetons per cell
- Energy: -6.041 eV per atom
- ΔE_f (raw): 43.1 kJ per mole of atoms

Lattice parameters (Å, degrees): 3.139 4.037 7.886 90.00 98.90 90.00
Element x y z (fractional)
K: 0.000 0.000 0.000
Tc: 0.250 0.500 0.629
Tc: 0.692 0.000 0.576
Sb: 0.636 0.500 0.335



(7)
The following is a DFT calculation (GGA-PBE) of V3Cr2W4 after structural relaxation.

Computed properties:
- Space group: No. 15
- Total magnetic moment: 0.0 Bohr magnetons per cell
- Energy: -10.758 eV per atom

Lattice parameters (Å, degrees): 7.474 7.474 4.874 99.55 99.55 81.06
Element x y z (fractional)
V: 0.001 0.999 0.750
V: 0.337 0.459 0.949
V: 0.459 0.337 0.449
V: 0.541 0.663 0.551
V: 0.663 0.541 0.051
V: 0.999 0.001 0.250
Cr: 0.133 0.305 0.595
Cr: 0.305 0.133 0.095
Cr: 0.695 0.867 0.905
Cr: 0.867 0.695 0.405
W: 0.001 0.341 0.091
W: 0.196 0.657 0.460
W: 0.341 0.001 0.591
W: 0.343 0.804 0.040
W: 0.657 0.196 0.960
W: 0.659 0.999 0.409
W: 0.804 0.343 0.540
W: 0.999 0.659 0.909



(8)
The following is a DFT calculation (GGA-PBE) of CaRe3Si3 after structural relaxation.

Computed properties:
- Space group: No. 176
- Total magnetic moment: 0.0 Bohr magnetons per cell
- Energy: -7.931 eV per atom
- ΔE_f (raw): 1.4 kJ per mole of atoms

Lattice parameters (Å, degrees): 8.100 8.100 4.398 90.00 90.00 120.00
Element x y z (fractional)
Ca: 0.333 0.667 0.250
Ca: 0.667 0.333 0.750
Re: 0.045 0.826 0.250
Re: 0.174 0.219 0.250
Re: 0.219 0.045 0.750
Re: 0.781 0.955 0.250
Re: 0.826 0.781 0.750
Re: 0.955 0.174 0.750
Si: 0.077 0.683 0.750
Si: 0.317 0.394 0.750
Si: 0.394 0.077 0.250
Si: 0.606 0.923 0.750
Si: 0.683 0.606 0.250
Si: 0.923 0.317 0.250



(9)
The following is a DFT calculation (GGA-PBE) of CePu2Ti after structural relaxation.

Computed properties:
- Space group: No. 123
- Total magnetic moment: 10.1 Bohr magnetons per cell
- Energy: -10.456 eV per atom
- E above lowest polymorph: 0.000 eV per atom

Lattice parameters (Å, degrees): 3.125 3.125 9.220 90.00 90.00 90.00
Element x y z (fractional)
Ce: 0.000 0.000 0.000
Pu: 0.500 0.500 0.267
Pu: 0.500 0.500 0.733
Ti: 0.000 0.000 0.500



(10)
The following is a DFT calculation (GGA-PBE) of Cs5Tl2Br12 after structural relaxation.

Computed properties:
- Space group: No. 2
- Total magnetic moment: 0.8 Bohr magnetons per cell
- Energy: -2.668 eV per atom
- ΔE_f (raw): -109.8 kJ per mole of atoms

Lattice parameters (Å, degrees): 9.495 9.951 12.187 70.11 80.24 63.34
Element x y z (fractional)
Cs: 0.000 0.000 0.000
Cs: 0.315 0.210 0.308
Cs: 0.360 0.303 0.862
Cs: 0.640 0.697 0.138
Cs: 0.685 0.790 0.692
Tl: 0.202 0.749 0.412
Tl: 0.798 0.251 0.588
Br: 0.001 0.039 0.316
Br: 0.077 0.549 0.057
Br: 0.102 0.577 0.591
Br: 0.275 0.623 0.238
Br: 0.395 0.925 0.892
Br: 0.458 0.765 0.454
Br: 0.542 0.235 0.546
Br: 0.605 0.075 0.108
Br: 0.725 0.377 0.762
Br: 0.898 0.423 0.409
Br: 0.923 0.451 0.943
Br: 0.999 0.961 0.684



(11)
The following is a DFT calculation (GGA-PBE) of Be3Os5 after structural relaxation.

Computed properties:
- Space group: No. 65
- Total magnetic moment: 0.0 Bohr magnetons per cell
- Energy: -8.229 eV per atom
- E above lowest polymorph: 0.161 eV per atom

Lattice parameters (Å, degrees): 5.044 5.044 4.101 90.00 90.00 108.81
Element x y z (fractional)
Be: 0.000 0.000 0.000
Be: 0.269 0.731 0.500
Be: 0.731 0.269 0.500
Os: 0.000 0.500 0.000
Os: 0.221 0.221 0.500
Os: 0.500 0.000 0.000
Os: 0.500 0.500 0.000
Os: 0.779 0.779 0.500



(12)
The following is a DFT calculation (GGA-PBE) of CeTa4N6 after structural relaxation.

Computed properties:
- Space group: No. 63
- Total magnetic moment: 0.3 Bohr magnetons per cell
- Energy: -10.585 eV per atom
- ΔE_f (raw): -115.3 kJ per mole of atoms

Lattice parameters (Å, degrees): 5.401 5.401 15.645 90.00 90.00 145.99
Element x y z (fractional)
Ce: 0.158 0.842 0.750
Ce: 0.842 0.158 0.250
Ta: 0.101 0.899 0.128
Ta: 0.101 0.899 0.372
Ta: 0.354 0.646 0.042
Ta: 0.354 0.646 0.458
Ta: 0.646 0.354 0.542
Ta: 0.646 0.354 0.958
Ta: 0.899 0.101 0.628
Ta: 0.899 0.101 0.872
N: 0.000 0.000 0.000
N: 0.000 0.000 0.500
N: 0.164 0.836 0.250
N: 0.263 0.737 0.595
N: 0.263 0.737 0.905
N: 0.466 0.534 0.157
N: 0.466 0.534 0.343
N: 0.534 0.466 0.657
N: 0.534 0.466 0.843
N: 0.737 0.263 0.095
N: 0.737 0.263 0.405
N: 0.836 0.164 0.750



(13)
The following is a DFT calculation (GGA-PBE) of Np2SnS6 after structural relaxation.

Computed properties:
- Space group: No. 136
- Total magnetic moment: 10.5 Bohr magnetons per cell
- Energy: -6.921 eV per atom
- ΔE_f (raw): -81.9 kJ per mole of atoms

Lattice parameters (Å, degrees): 6.171 6.171 12.255 90.00 90.00 90.00
Element x y z (fractional)
Np: 0.000 0.000 0.167
Np: 0.000 0.000 0.833
Np: 0.500 0.500 0.333
Np: 0.500 0.500 0.667
Sn: 0.000 0.000 0.500
Sn: 0.500 0.500 0.000
S: 0.190 0.190 0.000
S: 0.196 0.196 0.332
S: 0.196 0.196 0.668
S: 0.304 0.696 0.168
S: 0.304 0.696 0.832
S: 0.310 0.690 0.500
S: 0.690 0.310 0.500
S: 0.696 0.304 0.168
S: 0.696 0.304 0.832
S: 0.804 0.804 0.332
S: 0.804 0.804 0.668
S: 0.810 0.810 0.000



(14)
The following is a DFT calculation (GGA-PBE) of Pa2FeH after structural relaxation.

Computed properties:
- Space group: No. 166
- Total magnetic moment: 0.0 Bohr magnetons per cell
- Energy: -7.494 eV per atom
- E above lowest polymorph: 0.213 eV per atom

Lattice parameters (Å, degrees): 7.547 7.547 7.547 28.13 28.13 28.13
Element x y z (fractional)
Pa: 0.097 0.097 0.097
Pa: 0.903 0.903 0.903
Fe: 0.500 0.500 0.500
H: 0.000 0.000 0.000



(15)
The following is a DFT calculation (GGA-PBE) of PtWS after structural relaxation.

Computed properties:
- Space group: No. 38
- Total magnetic moment: 0.0 Bohr magnetons per cell
- Energy: -7.949 eV per atom
- ΔE_f (raw): -23.4 kJ per mole of atoms

Lattice parameters (Å, degrees): 12.473 3.043 3.043 59.84 90.00 90.00
Element x y z (fractional)
Pt: 0.160 0.000 0.000
Pt: 0.840 0.000 0.000
W: 0.000 0.665 0.665
W: 0.500 0.730 0.730
S: 0.368 0.397 0.397
S: 0.632 0.397 0.397



(16)
The following is a DFT calculation (GGA-PBE) of ThZnNi5 after structural relaxation.

Computed properties:
- Space group: No. 62
- Total magnetic moment: 0.0 Bohr magnetons per cell
- Energy: -5.731 eV per atom

Lattice parameters (Å, degrees): 7.993 4.875 10.108 90.00 90.00 90.00
Element x y z (fractional)
Th: 0.247 0.250 0.059
Th: 0.253 0.750 0.559
Th: 0.747 0.250 0.441
Th: 0.753 0.750 0.941
Zn: 0.144 0.750 0.858
Zn: 0.356 0.250 0.358
Zn: 0.644 0.750 0.642
Zn: 0.856 0.250 0.142
Ni: 0.052 0.750 0.098
Ni: 0.066 0.005 0.306
Ni: 0.066 0.495 0.306
Ni: 0.095 0.250 0.517
Ni: 0.186 0.250 0.750
Ni: 0.314 0.750 0.250
Ni: 0.405 0.750 0.017
Ni: 0.434 0.505 0.806
Ni: 0.434 0.995 0.806
Ni: 0.448 0.250 0.598
Ni: 0.552 0.750 0.402
Ni: 0.566 0.005 0.194
Ni: 0.566 0.495 0.194
Ni: 0.595 0.250 0.983
Ni: 0.686 0.250 0.750
Ni: 0.814 0.750 0.250
Ni: 0.905 0.750 0.483
Ni: 0.934 0.505 0.694
Ni: 0.934 0.995 0.694
Ni: 0.948 0.250 0.902



(17)
The following is a DFT calculation (GGA-PBE) of GdTiNiRh after structural relaxation.

Computed properties:
- Space group: No. 216
- Total magnetic moment: 7.5 Bohr magnetons per cell
- Energy: -9.160 eV per atom

Lattice parameters (Å, degrees): 4.617 4.617 4.617 60.00 60.00 60.00
Element x y z (fractional)
Gd: 0.000 0.000 0.000
Ti: 0.500 0.500 0.500
Ni: 0.750 0.750 0.750
Rh: 0.250 0.250 0.250



(18)
The following is a DFT calculation (GGA-PBE) of Cu2Ag2Pt after structural relaxation.

Computed properties:
- Space group: No. 127
- Total magnetic moment: 0.0 Bohr magnetons per cell
- Energy: -3.753 eV per atom
- E above lowest polymorph: 0.099 eV per atom

Lattice parameters (Å, degrees): 7.395 7.395 2.849 90.00 90.00 90.00
Element x y z (fractional)
Cu: 0.166 0.334 0.000
Cu: 0.334 0.834 0.000
Cu: 0.666 0.166 0.000
Cu: 0.834 0.666 0.000
Ag: 0.133 0.633 0.500
Ag: 0.367 0.133 0.500
Ag: 0.633 0.867 0.500
Ag: 0.867 0.367 0.500
Pt: 0.000 0.000 0.500
Pt: 0.500 0.500 0.500



(19)
The following is a DFT calculation (GGA-PBE) of BrO after structural relaxation.

Computed properties:
- Space group: No. 59
- Total magnetic moment: 0.0 Bohr magnetons per cell
- Energy: -3.022 eV per atom
- E above lowest polymorph: 0.150 eV per atom
- ΔE_f (raw): 28.3 kJ per mole of atoms

Lattice parameters (Å, degrees): 3.563 9.935 8.356 90.00 90.00 90.00
Element x y z (fractional)
Br: 0.250 0.087 0.219
Br: 0.250 0.413 0.219
Br: 0.250 0.750 0.236
Br: 0.750 0.250 0.764
Br: 0.750 0.587 0.781
Br: 0.750 0.913 0.781
O: 0.250 0.250 0.101
O: 0.250 0.611 0.360
O: 0.250 0.889 0.360
O: 0.750 0.111 0.640
O: 0.750 0.389 0.640
O: 0.750 0.750 0.899